Entry 1:
Below is a geometry-optimized Ga4GePb structure, with properties calculated at the PBE-GGA level.

a = 8.025 Å, b = 8.025 Å, c = 8.025 Å
α = 90.00°, β = 90.00°, γ = 90.00°
Space group F-43m (No. 216)
Symmetry-distinct sites (fractional):
Ga 0.124 0.124 0.124 (multiplicity 16)
Ge 0.250 0.250 0.750 (multiplicity 4)
Pb 0.000 0.000 0.500 (multiplicity 4)

## Properties
ΔH_f (0 K): 0.1498 eV per atom

=====

Entry 2:
Below is a geometry-optimized Ba3CePm3Se8 structure, with properties calculated at the PBE-GGA level.

a = 8.6398 Å, b = 8.6398 Å, c = 22.6512 Å
α = 90.00°, β = 90.00°, γ = 120.00°
Space group R-3m (No. 166, hexagonal axes)
Symmetry-distinct sites (fractional):
Ba 0.0000 0.5000 0.0000 (multiplicity 9)
Ce 0.0000 0.0000 0.5000 (multiplicity 3)
Pm 0.0000 0.5000 0.5000 (multiplicity 9)
Se 0.0000 0.0000 0.2403 (multiplicity 6)
Se 0.0021 0.5010 0.7607 (multiplicity 18)

## Properties
VASP energy: -82.59 eV/f.u.

=====

Entry 3:
Below is a geometry-optimized PmNd6Cd5 structure, with properties calculated at the PBE-GGA level.

a = 5.467 Å, b = 7.838 Å, c = 16.537 Å
α = 90.00°, β = 90.00°, γ = 90.00°
Space group Immm (No. 71)
Symmetry-distinct sites (fractional):
Pm 0.000 0.000 0.000 (multiplicity 2)
Nd 0.000 0.231 0.500 (multiplicity 4)
Nd 0.000 0.257 0.172 (multiplicity 8)
Cd 0.000 0.000 0.331 (multiplicity 4)
Cd 0.000 0.500 0.000 (multiplicity 2)
Cd 0.000 0.500 0.344 (multiplicity 4)

## Properties
ΔH_f (0 K): -0.2228 eV per atom

=====

Entry 4:
Below is a geometry-optimized ReMo2 structure, with properties calculated at the PBE-GGA level.

a = 2.664 Å, b = 4.257 Å, c = 18.147 Å
α = 90.00°, β = 90.00°, γ = 90.00°
Space group Imma (No. 74)
Symmetry-distinct sites (fractional):
Re 0.000 0.250 0.111 (multiplicity 4)
Mo 0.000 0.250 0.539 (multiplicity 4)
Mo 0.000 0.250 0.684 (multiplicity 4)

## Properties
Energy above the most stable polymorph in this dataset: 602 meV per atom
ΔH_f (0 K): 0.6454 eV per atom

=====

Entry 5:
Below is a geometry-optimized TlPRh2 structure, with properties calculated at the PBE-GGA level.

a = 3.395 Å, b = 5.529 Å, c = 7.587 Å
α = 90.00°, β = 90.00°, γ = 90.00°
Space group Immm (No. 71)
Symmetry-distinct sites (fractional):
Tl 0.000 0.000 0.000 (multiplicity 2)
P 0.000 0.000 0.500 (multiplicity 2)
Rh 0.000 0.500 0.190 (multiplicity 4)

## Properties
ΔH_f (0 K): -0.1236 eV per atom

=====

Entry 6:
Below is a geometry-optimized RbHg2As2 structure, with properties calculated at the PBE-GGA level.

a = 5.347 Å, b = 5.347 Å, c = 10.043 Å
α = 90.00°, β = 90.00°, γ = 90.00°
Space group I4/mmm (No. 139)
Symmetry-distinct sites (fractional):
Rb 0.000 0.000 0.000 (multiplicity 2)
Hg 0.000 0.500 0.250 (multiplicity 4)
As 0.000 0.000 0.377 (multiplicity 4)

## Properties
Energy above the most stable polymorph in this dataset: 0 meV per atom
ΔH_f (0 K): -0.1243 eV per atom